A geometry-optimized AcYIr2 structure. Source: Alexandria via LeMat-Bulk, functional PBE.

Its volume is 23.0 Å³ per atom. The calculation puts the excess energy over the best structure of this formula in the dataset at 0.024 eV per atom. The value obtained for the formation energy is -519 meV/atom.

Cell and atoms, written as extended XYZ:
```
4
Lattice="0.0000 3.5821 3.5821 3.5821 0.0000 3.5821 3.5821 3.5821 0.0000" Properties=species:S:1:pos:R:3 pbc="T T T"
Ac 0.0000 0.0000 0.0000
Y 3.5821 3.5821 3.5821
Ir 1.7911 1.7911 1.7911
Ir 5.3732 5.3732 5.3732
```